Here is a relaxed structure of Li4ZnCu2 from the Alexandria database. Energies are from PBE.

Geometry as CIF:
```
data_Li4ZnCu2
_space_group_name_H-M_alt 'P 1'
_space_group_IT_number 1
_space_group_name_Hall 'P 1'
_cell_length_a 5.9812
_cell_length_b 5.1919
_cell_length_c 5.1919
_cell_angle_alpha 70.62
_cell_angle_beta 54.83
_cell_angle_gamma 54.83
loop_
_atom_site_label
_atom_site_type_symbol
_atom_site_fract_x
_atom_site_fract_y
_atom_site_fract_z
_atom_site_occupancy
Zn1 Zn 0.0000 0.0000 0.0000 1
Li1 Li 0.0000 0.5000 0.0000 1
Cu1 Cu 0.0000 0.5000 0.5000 1
Li2 Li 0.5000 0.5000 0.0000 1
Li3 Li 0.0000 0.0000 0.5000 1
Li4 Li 0.5000 0.0000 0.5000 1
Cu2 Cu 0.5000 0.5000 0.5000 1
```

Output
* energy above the most stable polymorph in this dataset: 67.7 meV per atom
* D(E_F): 3.0 states/eV/cell
* energy of formation: 0.034 eV/atom